# Zr2CS, relaxed, DFT GGA-PBE
data_Zr2CS
_chemical_formula_sum 'Zr6 C3 S3'
_space_group_name_H-M_alt 'R 3 m'
_space_group_IT_number 160
_space_group_name_Hall 'R 3 -2"'
_cell_length_a 3.4151
_cell_length_b 3.4151
_cell_length_c 18.5543
_cell_angle_alpha 90.00
_cell_angle_beta 90.00
_cell_angle_gamma 120.00
loop_
_atom_site_label
_atom_site_fract_x
_atom_site_fract_y
_atom_site_fract_z
Zr1 0.0000 0.0000 0.0000
Zr2 0.0000 0.0000 0.1982
C1 0.0000 0.0000 0.6023
S1 0.0000 0.0000 0.4326
# ΔE_f (raw): -1.317 eV/atom
# energy: -8.9290 eV per atom
# energy above the most stable polymorph in this dataset: 0.0244 eV per atom

# ZrC3S, relaxed, DFT GGA-PBE
data_ZrC3S
_chemical_formula_sum 'Zr1 C3 S1'
_space_group_name_H-M_alt 'P m -3 m'
_space_group_IT_number 221
_space_group_name_Hall '-P 4 2 3'
_cell_length_a 4.391
_cell_length_b 4.391
_cell_length_c 4.391
_cell_angle_alpha 90.00
_cell_angle_beta 90.00
_cell_angle_gamma 90.00
loop_
_atom_site_label
_atom_site_fract_x
_atom_site_fract_y
_atom_site_fract_z
Zr1 0.000 0.000 0.000
C1 0.000 0.000 0.500
S1 0.500 0.500 0.500
# ΔE_f (raw): 2.661 eV/atom
# energy: -5.4085 eV per atom
# energy above the most stable polymorph in this dataset: 0.9631 eV per atom

# Zr2CS, relaxed, DFT GGA-PBE
data_Zr2CS
_chemical_formula_sum 'Zr8 C4 S4'
_space_group_name_H-M_alt 'F m -3 m'
_space_group_IT_number 225
_space_group_name_Hall '-F 4 2 3'
_cell_length_a 6.183
_cell_length_b 6.183
_cell_length_c 6.183
_cell_angle_alpha 90.00
_cell_angle_beta 90.00
_cell_angle_gamma 90.00
loop_
_atom_site_label
_atom_site_fract_x
_atom_site_fract_y
_atom_site_fract_z
Zr1 0.250 0.250 0.250
C1 0.000 0.000 0.000
S1 0.000 0.000 0.500
# ΔE_f (raw): -0.351 eV/atom
# energy: -7.9625 eV per atom
# energy above the most stable polymorph in this dataset: 0.9910 eV per atom

# Zr2CS, relaxed, DFT GGA-PBE
data_Zr2CS
_chemical_formula_sum 'Zr8 C4 S4'
_space_group_name_H-M_alt 'I -4 2 d'
_space_group_IT_number 122
_space_group_name_Hall 'I -4 2bw'
_cell_length_a 5.505
_cell_length_b 5.505
_cell_length_c 10.510
_cell_angle_alpha 90.00
_cell_angle_beta 90.00
_cell_angle_gamma 90.00
loop_
_atom_site_label
_atom_site_fract_x
_atom_site_fract_y
_atom_site_fract_z
Zr1 0.195 0.250 0.125
C1 0.000 0.000 0.000
S1 0.000 0.000 0.500
# ΔE_f (raw): -0.727 eV/atom
# energy: -8.3391 eV per atom
# energy above the most stable polymorph in this dataset: 0.6144 eV per atom

# ZrCS3, relaxed, DFT GGA-PBE
data_ZrCS3
_chemical_formula_sum 'Zr1 C1 S3'
_space_group_name_H-M_alt 'P m -3 m'
_space_group_IT_number 221
_space_group_name_Hall '-P 4 2 3'
_cell_length_a 4.154
_cell_length_b 4.154
_cell_length_c 4.154
_cell_angle_alpha 90.00
_cell_angle_beta 90.00
_cell_angle_gamma 90.00
loop_
_atom_site_label
_atom_site_fract_x
_atom_site_fract_y
_atom_site_fract_z
Zr1 0.000 0.000 0.000
C1 0.500 0.500 0.500
S1 0.000 0.500 0.500
# ΔE_f (raw): 0.363 eV/atom
# energy: -5.6679 eV per atom
# energy above the most stable polymorph in this dataset: 0.0000 eV per atom

# Sb2C, relaxed, DFT GGA-PBE
data_Sb2C
_chemical_formula_sum 'Sb8 C4'
_space_group_name_H-M_alt 'I m m a'
_space_group_IT_number 74
_space_group_name_Hall '-I 2b 2'
_cell_length_a 3.177
_cell_length_b 3.177
_cell_length_c 25.962
_cell_angle_alpha 90.00
_cell_angle_beta 90.00
_cell_angle_gamma 90.00
loop_
_atom_site_label
_atom_site_fract_x
_atom_site_fract_y
_atom_site_fract_z
Sb1 0.000 0.250 0.057
Sb2 0.000 0.250 0.175
C1 0.000 0.250 0.686
# ΔE_f (raw): 1.255 eV/atom
# energy: -4.5679 eV per atom
# energy above the most stable polymorph in this dataset: 0.6434 eV per atom

# Sb2C, relaxed, DFT GGA-PBE
data_Sb2C
_chemical_formula_sum 'Sb6 C3'
_space_group_name_H-M_alt 'P -6 2 m'
_space_group_IT_number 189
_space_group_name_Hall 'P -6 -2'
_cell_length_a 6.2677
_cell_length_b 6.2677
_cell_length_c 6.0793
_cell_angle_alpha 90.00
_cell_angle_beta 90.00
_cell_angle_gamma 120.00
loop_
_atom_site_label
_atom_site_fract_x
_atom_site_fract_y
_atom_site_fract_z
Sb1 0.0000 0.3171 0.0000
Sb2 0.0000 0.6599 0.5000
C1 0.0000 0.0000 0.5000
C2 0.3333 0.6667 0.0000
# ΔE_f (raw): 1.191 eV/atom
# energy: -4.6319 eV per atom
# energy above the most stable polymorph in this dataset: 0.5794 eV per atom

# SbC3, relaxed, DFT GGA-PBE
data_SbC3
_chemical_formula_sum 'Sb2 C6'
_space_group_name_H-M_alt 'P m -3 n'
_space_group_IT_number 223
_space_group_name_Hall '-P 4n 2 3'
_cell_length_a 4.459
_cell_length_b 4.459
_cell_length_c 4.459
_cell_angle_alpha 90.00
_cell_angle_beta 90.00
_cell_angle_gamma 90.00
loop_
_atom_site_label
_atom_site_fract_x
_atom_site_fract_y
_atom_site_fract_z
Sb1 0.000 0.000 0.000
C1 0.000 0.250 0.500
# ΔE_f (raw): 3.384 eV/atom
# energy: -4.5649 eV per atom
# energy above the most stable polymorph in this dataset: 2.5023 eV per atom

# Sb2C, relaxed, DFT GGA-PBE
data_Sb2C
_chemical_formula_sum 'Sb4 C2'
_space_group_name_H-M_alt 'P 42/m n m'
_space_group_IT_number 136
_space_group_name_Hall '-P 4n 2n'
_cell_length_a 6.819
_cell_length_b 6.819
_cell_length_c 3.164
_cell_angle_alpha 90.00
_cell_angle_beta 90.00
_cell_angle_gamma 90.00
loop_
_atom_site_label
_atom_site_fract_x
_atom_site_fract_y
_atom_site_fract_z
Sb1 0.165 0.165 0.000
C1 0.000 0.000 0.500
# ΔE_f (raw): 1.280 eV/atom
# energy: -4.5428 eV per atom
# energy above the most stable polymorph in this dataset: 0.6684 eV per atom

# SbC7, relaxed, DFT GGA-PBE
data_SbC7
_chemical_formula_sum 'Sb4 C28'
_space_group_name_H-M_alt 'F m -3 m'
_space_group_IT_number 225
_space_group_name_Hall '-F 4 2 3'
_cell_length_a 6.773
_cell_length_b 6.773
_cell_length_c 6.773
_cell_angle_alpha 90.00
_cell_angle_beta 90.00
_cell_angle_gamma 90.00
loop_
_atom_site_label
_atom_site_fract_x
_atom_site_fract_y
_atom_site_fract_z
Sb1 0.000 0.000 0.000
C1 0.000 0.000 0.500
C2 0.000 0.250 0.250
# ΔE_f (raw): 4.123 eV/atom
# energy: -4.4631 eV per atom

# Sb5C7, relaxed, DFT GGA-PBE
data_Sb5C7
_chemical_formula_sum 'Sb10 C14'
_space_group_name_H-M_alt 'I 4 m m'
_space_group_IT_number 107
_space_group_name_Hall 'I 4 -2'
_cell_length_a 7.729
_cell_length_b 7.729
_cell_length_c 7.466
_cell_angle_alpha 90.00
_cell_angle_beta 90.00
_cell_angle_gamma 90.00
loop_
_atom_site_label
_atom_site_fract_x
_atom_site_fract_y
_atom_site_fract_z
Sb1 0.000 0.000 0.000
Sb2 0.214 0.214 0.393
C1 0.000 0.000 0.296
C2 0.000 0.329 0.551
C3 0.000 0.500 0.053
# ΔE_f (raw): 1.073 eV/atom
# energy: -6.0251 eV per atom

# SbC2, relaxed, DFT GGA-PBE
data_SbC2
_chemical_formula_sum 'Sb4 C8'
_space_group_name_H-M_alt 'C m m m'
_space_group_IT_number 65
_space_group_name_Hall '-C 2 2'
_cell_length_a 2.780
_cell_length_b 19.501
_cell_length_c 3.161
_cell_angle_alpha 90.00
_cell_angle_beta 90.00
_cell_angle_gamma 90.00
loop_
_atom_site_label
_atom_site_fract_x
_atom_site_fract_y
_atom_site_fract_z
Sb1 0.000 0.099 0.000
C1 0.000 0.000 0.500
C2 0.000 0.250 0.500
C3 0.000 0.500 0.000
# ΔE_f (raw): 1.891 eV/atom
# energy: -5.6325 eV per atom
# energy above the most stable polymorph in this dataset: 0.9555 eV per atom

# Sb2C, relaxed, DFT GGA-PBE
data_Sb2C
_chemical_formula_sum 'Sb4 C2'
_space_group_name_H-M_alt 'P 4/n m m'
_space_group_IT_number 129
_cell_length_a 4.636
_cell_length_b 4.636
_cell_length_c 5.767
_cell_angle_alpha 90.00
_cell_angle_beta 90.00
_cell_angle_gamma 90.00
loop_
_space_group_symop_operation_xyz
'x,y,z'
'-x,-y,-z'
'-y+1/2,x,z'
'y+1/2,-x,-z'
'-x+1/2,-y+1/2,z'
'x+1/2,y+1/2,-z'
'y,-x+1/2,z'
'-y,x+1/2,-z'
'x+1/2,-y,-z'
'-x+1/2,y,z'
'-y,-x,-z'
'y,x,z'
'-x,y+1/2,-z'
'x,-y+1/2,z'
'y+1/2,x+1/2,-z'
'-y+1/2,-x+1/2,z'
loop_
_atom_site_label
_atom_site_fract_x
_atom_site_fract_y
_atom_site_fract_z
Sb1 0.250 0.250 0.008
Sb2 0.250 0.750 0.500
C1 0.250 0.250 0.391
# ΔE_f (raw): 1.081 eV/atom
# energy: -4.7420 eV per atom
# energy above the most stable polymorph in this dataset: 0.4693 eV per atom